No. 1
An optimized crystal structure of YCoTe2I, computed with PBE.

Output
E_form (uncorrected)	-0.172	eV/atom
relative energy among the computed polymorphs	0	meV/atom
E_tot	-4.45	eV/atom

Lattice parameters (Å, degrees): 5.1509 5.1509 5.0900 90.00 90.00 90.00
Space group P4/mmm (No. 123)
Asymmetric unit:
Y 0.0000 0.0000 0.0000 (multiplicity 1)
Co 0.5000 0.5000 0.5000 (multiplicity 1)
Te 0.0000 0.5000 0.5000 (multiplicity 2)
I 0.5000 0.5000 0.0000 (multiplicity 1)

***

No. 2
An optimized crystal structure of PmPr4Nd2Er, computed with PBE.

Output
ΔH_f (0 K)	0.013	eV/atom
E_tot	-4.73	eV/atom

Lattice parameters (Å, degrees): 5.1906 5.2115 10.3515 90.00 90.10 90.00
Space group P2/m (No. 10)
Asymmetric unit:
Pm 0.0000 0.0000 0.0000 (multiplicity 1)
Pr 0.0003 0.5000 0.2526 (multiplicity 2)
Pr 0.5001 0.0000 0.2519 (multiplicity 2)
Nd 0.0000 0.0000 0.5000 (multiplicity 1)
Nd 0.5000 0.5000 0.0000 (multiplicity 1)
Er 0.5000 0.5000 0.5000 (multiplicity 1)

***

No. 3
An optimized crystal structure of Ni2TeOsW, computed with PBE.

Output
E_form (uncorrected)	1.976	eV/atom
E_tot	-5.80	eV/atom

Lattice parameters (Å, degrees): 4.3810 4.3810 5.0433 90.00 90.00 90.00
Space group P4/mmm (No. 123)
Asymmetric unit:
Ni 0.0000 0.5000 0.0000 (multiplicity 2)
Te 0.0000 0.0000 0.0000 (multiplicity 1)
Os 0.5000 0.5000 0.5000 (multiplicity 1)
W 0.0000 0.0000 0.5000 (multiplicity 1)

***

No. 4
An optimized crystal structure of Ca2SnTeRh, computed with PBE.

Output
E_form (uncorrected)	-0.125	eV/atom
relative energy among the computed polymorphs	566	meV/atom
E_tot	-3.82	eV/atom

Lattice parameters (Å, degrees): 5.8802 5.8802 4.8483 90.00 90.00 90.00
Space group P4/mmm (No. 123)
Asymmetric unit:
Ca 0.0000 0.5000 0.0000 (multiplicity 2)
Sn 0.0000 0.0000 0.0000 (multiplicity 1)
Te 0.5000 0.5000 0.5000 (multiplicity 1)
Rh 0.0000 0.0000 0.5000 (multiplicity 1)

***

No. 5
An optimized crystal structure of Dy3BI3, computed with PBE.

Output
E_form (uncorrected)	-0.957	eV/atom
E_tot	-4.55	eV/atom

Lattice parameters (Å, degrees): 11.7714 11.7714 11.7714 90.00 90.00 90.00
Space group I4_132 (No. 214)
Asymmetric unit:
Dy 0.0984 0.3484 0.1250 (multiplicity 24)
B 0.1250 0.1250 0.1250 (multiplicity 8)
I 0.1160 0.1340 0.6250 (multiplicity 24)

***

No. 6
An optimized crystal structure of SrBe2Al2, computed with PBE.

Output
ΔH_f (0 K)	0.050	eV/atom
E_tot	-3.27	eV/atom

Lattice parameters (Å, degrees): 4.2407 4.2407 10.2991 90.00 90.00 90.00
Space group I4/mmm (No. 139)
Asymmetric unit:
Sr 0.0000 0.0000 0.0000 (multiplicity 2)
Be 0.0000 0.5000 0.2500 (multiplicity 4)
Al 0.0000 0.0000 0.3665 (multiplicity 4)

***

No. 7
An optimized crystal structure of K4Ce3ScO8, computed with PBE.

Output
E_form (uncorrected)	-2.595	eV/atom
E_tot	-6.86	eV/atom

Lattice parameters (Å, degrees): 7.0906 7.0906 18.8042 90.00 90.00 120.00
Space group R-3m (No. 166, hexagonal axes)
Asymmetric unit:
K 0.0000 0.0000 0.0000 (multiplicity 3)
K 0.0000 0.5000 0.0000 (multiplicity 9)
Ce 0.0000 0.5000 0.5000 (multiplicity 9)
Sc 0.0000 0.0000 0.5000 (multiplicity 3)
O 0.0000 0.0000 0.2321 (multiplicity 6)
O 0.0197 0.5099 0.2279 (multiplicity 18)

***

No. 8
An optimized crystal structure of Zn2ReP, computed with PBE.

Output
ΔH_f (0 K)	0.330	eV/atom
E_tot	-4.77	eV/atom

Lattice parameters (Å, degrees): 3.8581 3.8581 7.5283 90.00 90.00 90.00
Space group I-4m2 (No. 119)
Asymmetric unit:
Zn 0.0000 0.0000 0.0000 (multiplicity 2)
Zn 0.0000 0.5000 0.2500 (multiplicity 2)
Re 0.0000 0.0000 0.5000 (multiplicity 2)
P 0.0000 0.5000 0.7500 (multiplicity 2)

***

No. 9
An optimized crystal structure of Er5SiTe4, computed with PBE.

Output
E_form (uncorrected)	-1.209	eV/atom
E_tot	-5.29	eV/atom

Lattice parameters (Å, degrees): 9.6241 9.6241 6.0177 90.00 90.00 90.00
Space group I4/m (No. 87)
Asymmetric unit:
Er 0.0000 0.0000 0.0000 (multiplicity 2)
Er 0.0957 0.7304 0.5000 (multiplicity 8)
Si 0.0000 0.0000 0.5000 (multiplicity 2)
Te 0.0910 0.6928 0.0000 (multiplicity 8)

***

No. 10
An optimized crystal structure of Tb4PrAg, computed with PBE.

Output
ΔH_f (0 K)	0.056	eV/atom
relative energy among the computed polymorphs	131	meV/atom
E_tot	-4.30	eV/atom

Lattice parameters (Å, degrees): 5.4603 21.1885 6.5324 90.00 90.00 90.00
Space group Cmc2_1 (No. 36)
Asymmetric unit:
Tb 0.0000 0.0333 0.0000 (multiplicity 4)
Tb 0.0000 0.1740 0.2051 (multiplicity 4)
Tb 0.0000 0.2421 0.7208 (multiplicity 4)
Tb 0.0000 0.4328 0.8413 (multiplicity 4)
Pr 0.0000 0.3649 0.3499 (multiplicity 4)
Ag 0.0000 0.1028 0.5961 (multiplicity 4)

***

No. 11
An optimized crystal structure of NaMgSc2, computed with PBE.

Output
ΔH_f (0 K)	0.549	eV/atom
E_tot	-3.35	eV/atom

Lattice parameters (Å, degrees): 8.3182 8.3182 6.0029 90.00 90.00 90.00
Space group I-42d (No. 122)
Asymmetric unit:
Na 0.0000 0.0000 0.0000 (multiplicity 4)
Mg 0.0000 0.0000 0.5000 (multiplicity 4)
Sc 0.2493 0.2500 0.6250 (multiplicity 8)

***

No. 12
An optimized crystal structure of Y3Tm6ZrSc2, computed with PBE.

Output
ΔH_f (0 K)	0.055	eV/atom
E_tot	-5.56	eV/atom

Lattice parameters (Å, degrees): 5.9666 10.3231 11.4083 90.00 100.02 90.00
Space group C2/m (No. 12)
Asymmetric unit:
Y 0.0000 0.0000 0.0000 (multiplicity 2)
Y 0.0000 0.3332 0.0000 (multiplicity 4)
Tm 0.2443 0.3353 0.7379 (multiplicity 8)
Tm 0.2503 0.0000 0.7374 (multiplicity 4)
Zr 0.0000 0.5000 0.5000 (multiplicity 2)
Sc 0.0000 0.1669 0.5000 (multiplicity 4)

***

No. 13
An optimized crystal structure of Tl2InFe, computed with PBE.

Output
ΔH_f (0 K)	0.309	eV/atom
relative energy among the computed polymorphs	0	meV/atom
E_tot	-3.67	eV/atom

Lattice parameters (Å, degrees): 14.9672 3.0475 4.5568 90.00 107.61 90.00
Space group C2/m (No. 12)
Asymmetric unit:
Tl 0.1769 0.0000 0.1772 (multiplicity 4)
In 0.0000 0.0000 0.5000 (multiplicity 2)
Fe 0.0000 0.5000 0.0000 (multiplicity 2)

***

No. 14
An optimized crystal structure of Pm3Mg5Pd2, computed with PBE.

Output
ΔH_f (0 K)	-0.406	eV/atom
E_tot	-3.67	eV/atom

Lattice parameters (Å, degrees): 10.5015 10.5015 4.3671 90.00 90.00 90.00
Space group P4/mbm (No. 127)
Asymmetric unit:
Pm 0.0000 0.0000 0.0000 (multiplicity 2)
Pm 0.1774 0.3226 0.0000 (multiplicity 4)
Mg 0.0000 0.5000 0.5000 (multiplicity 2)
Mg 0.0668 0.7786 0.5000 (multiplicity 8)
Pd 0.1173 0.6173 0.0000 (multiplicity 4)

***

No. 15
An optimized crystal structure of Sc2CoSe, computed with PBE.

Output
E_form (uncorrected)	-0.578	eV/atom
E_tot	-6.39	eV/atom

Lattice parameters (Å, degrees): 3.7397 3.7397 9.9225 90.00 90.00 90.00
Space group I-4m2 (No. 119)
Asymmetric unit:
Sc 0.0000 0.0000 0.0000 (multiplicity 2)
Sc 0.0000 0.5000 0.2500 (multiplicity 2)
Co 0.0000 0.0000 0.5000 (multiplicity 2)
Se 0.0000 0.5000 0.7500 (multiplicity 2)

***

No. 16
An optimized crystal structure of Ce4ThIn5, computed with PBE.

Output
ΔH_f (0 K)	-0.345	eV/atom
E_tot	-4.83	eV/atom

Lattice parameters (Å, degrees): 3.4170 3.4170 23.6326 90.00 90.00 90.00
Space group P4/mmm (No. 123)
Asymmetric unit:
Ce 0.0000 0.0000 0.1000 (multiplicity 2)
Ce 0.0000 0.0000 0.2996 (multiplicity 2)
Th 0.0000 0.0000 0.5000 (multiplicity 1)
In 0.5000 0.5000 0.0000 (multiplicity 1)
In 0.5000 0.5000 0.1998 (multiplicity 2)
In 0.5000 0.5000 0.3984 (multiplicity 2)

***

No. 17
An optimized crystal structure of RbNpGeO6, computed with PBE.

Output
E_form (uncorrected)	-2.035	eV/atom
E_tot	-7.40	eV/atom

Lattice parameters (Å, degrees): 5.3068 5.3068 6.4329 90.00 90.00 120.00
Space group P312 (No. 149)
Asymmetric unit:
Rb 0.0000 0.0000 0.0000 (multiplicity 1)
Np 0.6667 0.3333 0.5000 (multiplicity 1)
Ge 0.3333 0.6667 0.5000 (multiplicity 1)
O 0.0152 0.3867 0.6701 (multiplicity 6)

***

No. 18
An optimized crystal structure of La2TlW, computed with PBE.

Output
ΔH_f (0 K)	0.393	eV/atom
relative energy among the computed polymorphs	110	meV/atom
E_tot	-5.90	eV/atom

Lattice parameters (Å, degrees): 12.2098 3.2064 5.7498 90.00 106.03 90.00
Space group Cm (No. 8)
Asymmetric unit:
La 0.0000 0.0000 0.0000 (multiplicity 2)
La 0.1892 0.0000 0.6400 (multiplicity 2)
Tl 0.2636 0.5000 0.1799 (multiplicity 2)
W 0.4515 0.0000 0.4886 (multiplicity 2)

***

No. 19
An optimized crystal structure of ZnCuRu2, computed with PBE.

Output
ΔH_f (0 K)	0.678	eV/atom
E_tot	-5.30	eV/atom

Lattice parameters (Å, degrees): 6.9043 6.9043 4.9685 90.00 90.00 90.00
Space group I-42d (No. 122)
Asymmetric unit:
Zn 0.0000 0.0000 0.0000 (multiplicity 4)
Cu 0.0000 0.0000 0.5000 (multiplicity 4)
Ru 0.2390 0.2500 0.6250 (multiplicity 8)

***

No. 20
An optimized crystal structure of KZr2Tc, computed with PBE.

Output
ΔH_f (0 K)	0.558	eV/atom
relative energy among the computed polymorphs	422	meV/atom
E_tot	-6.58	eV/atom

Lattice parameters (Å, degrees): 9.5588 3.3278 8.1356 90.00 107.04 90.00
Space group Cm (No. 8)
Asymmetric unit:
K 0.0000 0.0000 0.0000 (multiplicity 2)
Zr 0.1609 0.0000 0.6320 (multiplicity 2)
Zr 0.3725 0.0000 0.3966 (multiplicity 2)
Tc 0.1429 0.5000 0.3889 (multiplicity 2)